Entry 1:
Below is a relaxed CrPtRh2N crystal, with properties calculated at the GGA-PBE level.

Cell lengths 4.0868, 4.0868, 3.8962 Å; angles 90.00, 90.00, 90.00 degrees
Fractional coordinates of all 5 atoms:
1 Cr 0.0000 0.0000 0.0000
2 Pt 0.5000 0.5000 0.0000
3 Rh 0.0000 0.5000 0.5000
4 Rh 0.5000 0.0000 0.5000
5 N 0.0000 0.0000 0.5000

Values from the calculation:
- E_form (uncorrected): 0.014 eV per atom
- Space-group type: No. 123



Entry 2:
Below is a relaxed La3ScRu crystal, with properties calculated at the GGA-PBE level.

Cell lengths 5.5335, 5.5335, 5.5335 Å; angles 90.00, 90.00, 90.00 degrees
Fractional coordinates of all 5 atoms:
1 La 0.0000 0.0000 0.5000
2 La 0.0000 0.5000 0.0000
3 La 0.5000 0.0000 0.0000
4 Sc 0.5000 0.5000 0.5000
5 Ru 0.0000 0.0000 0.0000

Values from the calculation:
- Energy of formation from the pure elements: 0.0 meV per atom
- Space-group type: No. 221
- Excess energy over the best structure of this formula in the dataset: 0.0 meV/atom



Entry 3:
Below is a relaxed PrGdPd2 crystal, with properties calculated at the GGA-PBE level.

Cell lengths 7.1947, 7.1947, 7.1947 Å; angles 90.00, 90.00, 90.00 degrees
Fractional coordinates of all 16 atoms:
1 Pr 0.0000 0.0000 0.0000
2 Pr 0.0000 0.5000 0.5000
3 Pr 0.5000 0.0000 0.5000
4 Pr 0.5000 0.5000 0.0000
5 Gd 0.0000 0.0000 0.5000
6 Gd 0.0000 0.5000 0.0000
7 Gd 0.5000 0.0000 0.0000
8 Gd 0.5000 0.5000 0.5000
9 Pd 0.2500 0.2500 0.2500
10 Pd 0.2500 0.2500 0.7500
11 Pd 0.2500 0.7500 0.2500
12 Pd 0.2500 0.7500 0.7500
13 Pd 0.7500 0.2500 0.2500
14 Pd 0.7500 0.2500 0.7500
15 Pd 0.7500 0.7500 0.2500
16 Pd 0.7500 0.7500 0.7500

Values from the calculation:
- Energy of formation from the pure elements: -767.3 meV per atom
- Space-group type: No. 225
- Excess energy over the best structure of this formula in the dataset: 0.0 meV/atom



Entry 4:
Below is a relaxed La8Ga3RhBr4 crystal, with properties calculated at the GGA-PBE level.

Cell lengths 8.8491, 8.8491, 9.0441 Å; angles 120.19, 120.19, 58.61 degrees
Fractional coordinates of all 16 atoms:
1 La 0.2280 0.7554 0.7113
2 La 0.2399 0.2399 0.7270
3 La 0.2446 0.7720 0.2887
4 La 0.2553 0.2553 0.2626
5 La 0.7447 0.7447 0.7374
6 La 0.7554 0.2280 0.7113
7 La 0.7601 0.7601 0.2730
8 La 0.7720 0.2446 0.2887
9 Ga 0.0000 0.5000 0.5000
10 Ga 0.5000 0.0000 0.5000
11 Ga 0.5000 0.5000 0.5000
12 Rh 0.0000 0.0000 0.5000
13 Br 0.0000 0.0000 0.0000
14 Br 0.0000 0.5000 0.0000
15 Br 0.5000 0.0000 0.0000
16 Br 0.5000 0.5000 0.0000

Values from the calculation:
- E_form (uncorrected): -0.986 eV per atom
- Space-group type: No. 12



Entry 5:
Below is a relaxed Cs3CoSe3 crystal, with properties calculated at the GGA-PBE level.

Cell lengths 10.9719, 10.9719, 14.1480 Å; angles 90.00, 90.00, 40.68 degrees
Fractional coordinates of all 28 atoms:
1 Cs 0.0086 0.3421 0.8723
2 Cs 0.1392 0.8608 0.8297
3 Cs 0.1579 0.4914 0.6277
4 Cs 0.3421 0.0086 0.1277
5 Cs 0.3608 0.6392 0.3297
6 Cs 0.4914 0.1579 0.3723
7 Cs 0.5086 0.8421 0.6277
8 Cs 0.6392 0.3608 0.6703
9 Cs 0.6579 0.9914 0.8723
10 Cs 0.8421 0.5086 0.3723
11 Cs 0.8608 0.1392 0.1703
12 Cs 0.9914 0.6579 0.1277
13 Co 0.0778 0.0778 0.5000
14 Co 0.4222 0.4222 0.0000
15 Co 0.5778 0.5778 0.0000
16 Co 0.9222 0.9222 0.5000
17 Se 0.0007 0.2899 0.6111
18 Se 0.1954 0.8046 0.5730
19 Se 0.2101 0.4993 0.8889
20 Se 0.2899 0.0007 0.3889
21 Se 0.3046 0.6954 0.0730
22 Se 0.4993 0.2101 0.1111
23 Se 0.5007 0.7899 0.8889
24 Se 0.6954 0.3046 0.9270
25 Se 0.7101 0.9993 0.6111
26 Se 0.7899 0.5007 0.1111
27 Se 0.8046 0.1954 0.4270
28 Se 0.9993 0.7101 0.3889

Values from the calculation:
- E_form (uncorrected): -0.817 eV per atom
- Space-group type: No. 64



Entry 6:
Below is a relaxed TaVH2 crystal, with properties calculated at the GGA-PBE level.

Cell lengths 5.3005, 5.3005, 5.3005 Å; angles 90.00, 90.00, 90.00 degrees
Fractional coordinates of all 16 atoms:
1 Ta 0.0000 0.0000 0.0000
2 Ta 0.0000 0.5000 0.5000
3 Ta 0.5000 0.0000 0.5000
4 Ta 0.5000 0.5000 0.0000
5 V 0.0000 0.0000 0.5000
6 V 0.0000 0.5000 0.0000
7 V 0.5000 0.0000 0.0000
8 V 0.5000 0.5000 0.5000
9 H 0.2500 0.2500 0.2500
10 H 0.2500 0.2500 0.7500
11 H 0.2500 0.7500 0.2500
12 H 0.2500 0.7500 0.7500
13 H 0.7500 0.2500 0.2500
14 H 0.7500 0.2500 0.7500
15 H 0.7500 0.7500 0.2500
16 H 0.7500 0.7500 0.7500

Values from the calculation:
- Space-group type: No. 225
- Excess energy over the best structure of this formula in the dataset: 618.6 meV/atom



Entry 7:
Below is a relaxed Cd2PBr2 crystal, with properties calculated at the GGA-PBE level.

Cell lengths 5.6969, 5.6969, 8.4732 Å; angles 90.00, 90.00, 90.00 degrees
Fractional coordinates of all 10 atoms:
1 Cd 0.0000 0.5000 0.2500
2 Cd 0.0000 0.5000 0.7500
3 Cd 0.5000 0.0000 0.2500
4 Cd 0.5000 0.0000 0.7500
5 P 0.0000 0.0000 0.0000
6 P 0.5000 0.5000 0.5000
7 Br 0.0000 0.0000 0.3160
8 Br 0.0000 0.0000 0.6840
9 Br 0.5000 0.5000 0.1840
10 Br 0.5000 0.5000 0.8160

Values from the calculation:
- E_form (uncorrected): 0.298 eV per atom
- Space-group type: No. 139



Entry 8:
Below is a relaxed KVPb2Cl8 crystal, with properties calculated at the GGA-PBE level.

Cell lengths 6.3507, 6.6244, 8.6393 Å; angles 90.03, 90.10, 91.50 degrees
Fractional coordinates of all 12 atoms:
1 K 0.0000 0.0000 0.0000
2 V 0.0000 0.0000 0.5000
3 Pb 0.4994 0.4999 0.7405
4 Pb 0.5006 0.5001 0.2595
5 Cl 0.2135 0.7030 0.4995
6 Cl 0.2216 0.1451 0.3016
7 Cl 0.2226 0.1442 0.6992
8 Cl 0.2713 0.6301 0.0000
9 Cl 0.7287 0.3699 0.0000
10 Cl 0.7774 0.8558 0.3008
11 Cl 0.7784 0.8549 0.6984
12 Cl 0.7865 0.2970 0.5005

Values from the calculation:
- E_form (uncorrected): -1.275 eV per atom
- Space-group type: No. 2



Entry 9:
Below is a relaxed CaCeTl2Se4 crystal, with properties calculated at the GGA-PBE level.

Cell lengths 7.3518, 4.3150, 8.0547 Å; angles 90.00, 107.81, 90.00 degrees
Fractional coordinates of all 8 atoms:
1 Ca 0.0000 0.0000 0.0000
2 Ce 0.5000 0.5000 0.0000
3 Tl 0.0000 0.5000 0.5000
4 Tl 0.5000 0.0000 0.5000
5 Se 0.2490 0.5000 0.2065
6 Se 0.2745 0.0000 0.7932
7 Se 0.7255 0.0000 0.2068
8 Se 0.7510 0.5000 0.7935

Values from the calculation:
- E_form (uncorrected): -1.285 eV per atom
- Space-group type: No. 10



Entry 10:
Below is a relaxed KAc2Ce crystal, with properties calculated at the GGA-PBE level.

Cell lengths 3.8579, 3.8579, 41.7969 Å; angles 90.00, 90.00, 120.00 degrees
Fractional coordinates of all 12 atoms:
1 K 0.0000 0.0000 0.0000
2 K 0.3333 0.6667 0.6667
3 K 0.6667 0.3333 0.3333
4 Ac 0.0000 0.0000 0.0956
5 Ac 0.0000 0.0000 0.9044
6 Ac 0.3333 0.6667 0.5710
7 Ac 0.3333 0.6667 0.7623
8 Ac 0.6667 0.3333 0.2377
9 Ac 0.6667 0.3333 0.4290
10 Ce 0.0000 0.0000 0.5000
11 Ce 0.3333 0.6667 0.1667
12 Ce 0.6667 0.3333 0.8333

Values from the calculation:
- Energy of formation from the pure elements: 230.4 meV per atom
- Space-group type: No. 166



Entry 11:
Below is a relaxed Cs12Pd3F5 crystal, with properties calculated at the GGA-PBE level.

Cell lengths 16.5251, 16.5251, 16.5251 Å; angles 109.47, 109.47, 109.47 degrees
Fractional coordinates of all 80 atoms:
1 Cs 0.0269 0.2046 0.1258
2 Cs 0.0269 0.3223 0.9011
3 Cs 0.0788 0.7046 0.6777
4 Cs 0.0788 0.8742 0.4011
5 Cs 0.0989 0.6258 0.4212
6 Cs 0.0989 0.9731 0.6777
7 Cs 0.1258 0.0269 0.2046
8 Cs 0.1258 0.5989 0.9212
9 Cs 0.1777 0.2046 0.5788
10 Cs 0.1777 0.4731 0.5989
11 Cs 0.2046 0.1258 0.0269
12 Cs 0.2046 0.5788 0.1777
13 Cs 0.2954 0.3223 0.9212
14 Cs 0.2954 0.4731 0.3742
15 Cs 0.3223 0.9011 0.0269
16 Cs 0.3223 0.9212 0.2954
17 Cs 0.3742 0.2954 0.4731
18 Cs 0.3742 0.5788 0.9011
19 Cs 0.4011 0.0788 0.8742
20 Cs 0.4011 0.8223 0.5269
21 Cs 0.4212 0.0989 0.6258
22 Cs 0.4212 0.8223 0.7954
23 Cs 0.4731 0.3742 0.2954
24 Cs 0.4731 0.5989 0.1777
25 Cs 0.5269 0.4011 0.8223
26 Cs 0.5269 0.6258 0.7046
27 Cs 0.5788 0.1777 0.2046
28 Cs 0.5788 0.9011 0.3742
29 Cs 0.5989 0.1777 0.4731
30 Cs 0.5989 0.9212 0.1258
31 Cs 0.6258 0.4212 0.0989
32 Cs 0.6258 0.7046 0.5269
33 Cs 0.6777 0.0788 0.7046
34 Cs 0.6777 0.0989 0.9731
35 Cs 0.7046 0.5269 0.6258
36 Cs 0.7046 0.6777 0.0788
37 Cs 0.7954 0.4212 0.8223
38 Cs 0.7954 0.8742 0.9731
39 Cs 0.8223 0.5269 0.4011
40 Cs 0.8223 0.7954 0.4212
41 Cs 0.8742 0.4011 0.0788
42 Cs 0.8742 0.9731 0.7954
43 Cs 0.9011 0.0269 0.3223
44 Cs 0.9011 0.3742 0.5788
45 Cs 0.9212 0.1258 0.5989
46 Cs 0.9212 0.2954 0.3223
47 Cs 0.9731 0.6777 0.0989
48 Cs 0.9731 0.7954 0.8742
49 Pd 0.1250 0.2500 0.3750
50 Pd 0.1250 0.3750 0.7500
51 Pd 0.2500 0.3750 0.1250
52 Pd 0.2500 0.8750 0.6250
53 Pd 0.3750 0.1250 0.2500
54 Pd 0.3750 0.7500 0.1250
55 Pd 0.6250 0.2500 0.8750
56 Pd 0.6250 0.8750 0.7500
57 Pd 0.7500 0.1250 0.3750
58 Pd 0.7500 0.6250 0.8750
59 Pd 0.8750 0.6250 0.2500
60 Pd 0.8750 0.7500 0.6250
61 F 0.0000 0.0000 0.0000
62 F 0.0000 0.0000 0.5000
63 F 0.0000 0.5000 0.0000
64 F 0.0000 0.5000 0.5000
65 F 0.1250 0.7500 0.8750
66 F 0.1250 0.8750 0.2500
67 F 0.2500 0.1250 0.8750
68 F 0.2500 0.6250 0.3750
69 F 0.3750 0.2500 0.6250
70 F 0.3750 0.6250 0.7500
71 F 0.5000 0.0000 0.0000
72 F 0.5000 0.0000 0.5000
73 F 0.5000 0.5000 0.0000
74 F 0.5000 0.5000 0.5000
75 F 0.6250 0.3750 0.2500
76 F 0.6250 0.7500 0.3750
77 F 0.7500 0.3750 0.6250
78 F 0.7500 0.8750 0.1250
79 F 0.8750 0.1250 0.7500
80 F 0.8750 0.2500 0.1250

Values from the calculation:
- E_form (uncorrected): -1.263 eV per atom
- Space-group type: No. 230



Entry 12:
Below is a relaxed Cs2Pu2CrS6 crystal, with properties calculated at the GGA-PBE level.

Cell lengths 6.7083, 6.7083, 8.5332 Å; angles 97.84, 97.84, 119.41 degrees
Fractional coordinates of all 11 atoms:
1 Cs 0.1694 0.8306 0.0000
2 Cs 0.8306 0.1694 0.0000
3 Pu 0.3331 0.6669 0.5000
4 Pu 0.6669 0.3331 0.5000
5 Cr 0.0000 0.0000 0.5000
6 S 0.0599 0.3676 0.6707
7 S 0.2481 0.2481 0.3310
8 S 0.3676 0.0599 0.6707
9 S 0.6324 0.9401 0.3293
10 S 0.7519 0.7519 0.6690
11 S 0.9401 0.6324 0.3293

Values from the calculation:
- E_form (uncorrected): -1.282 eV per atom
- Space-group type: No. 12



Entry 13:
Below is a relaxed K3Pa2O7 crystal, with properties calculated at the GGA-PBE level.

Cell lengths 11.6054, 11.6054, 11.6054 Å; angles 158.14, 158.14, 31.11 degrees
Fractional coordinates of all 12 atoms:
1 K 0.0000 0.0000 0.0000
2 K 0.1917 0.1917 0.0000
3 K 0.8083 0.8083 0.0000
4 Pa 0.4022 0.4022 0.0000
5 Pa 0.5978 0.5978 0.0000
6 O 0.0959 0.5959 0.5000
7 O 0.3118 0.3118 0.0000
8 O 0.4041 0.9041 0.5000
9 O 0.5000 0.5000 0.0000
10 O 0.5959 0.0959 0.5000
11 O 0.6882 0.6882 0.0000
12 O 0.9041 0.4041 0.5000

Values from the calculation:
- E_form (uncorrected): -2.761 eV per atom
- Space-group type: No. 139
- Excess energy over the best structure of this formula in the dataset: 0.0 meV/atom



Entry 14:
Below is a relaxed Y2Ni9Au crystal, with properties calculated at the GGA-PBE level.

Cell lengths 8.4853, 8.4853, 8.4853 Å; angles 33.83, 33.83, 33.83 degrees
Fractional coordinates of all 12 atoms:
1 Y 0.1339 0.1339 0.1339
2 Y 0.8661 0.8661 0.8661
3 Ni 0.0807 0.5821 0.5821
4 Ni 0.3330 0.3330 0.3330
5 Ni 0.4179 0.4179 0.9193
6 Ni 0.4179 0.9193 0.4179
7 Ni 0.5000 0.5000 0.5000
8 Ni 0.5821 0.0807 0.5821
9 Ni 0.5821 0.5821 0.0807
10 Ni 0.6670 0.6670 0.6670
11 Ni 0.9193 0.4179 0.4179
12 Au 0.0000 0.0000 0.0000

Values from the calculation:
- Energy of formation from the pure elements: -198.8 meV per atom
- Space-group type: No. 166



Entry 15:
Below is a relaxed Ac2YTcO8 crystal, with properties calculated at the GGA-PBE level.

Cell lengths 5.7410, 6.2517, 6.5581 Å; angles 74.32, 76.18, 71.16 degrees
Fractional coordinates of all 12 atoms:
1 Ac 0.0860 0.1462 0.2046
2 Ac 0.9140 0.8538 0.7954
3 Y 0.5000 0.5000 0.5000
4 Tc 0.5000 0.5000 0.0000
5 O 0.2242 0.8325 0.4811
6 O 0.2797 0.8055 0.9894
7 O 0.2834 0.4312 0.8567
8 O 0.3180 0.3983 0.2720
9 O 0.6820 0.6017 0.7280
10 O 0.7166 0.5688 0.1433
11 O 0.7203 0.1945 0.0106
12 O 0.7758 0.1675 0.5189

Values from the calculation:
- E_form (uncorrected): -2.615 eV per atom
- Space-group type: No. 2



Entry 16:
Below is a relaxed Pm6As2PbSe3 crystal, with properties calculated at the GGA-PBE level.

Cell lengths 9.5635, 9.5635, 8.5778 Å; angles 102.71, 102.71, 25.82 degrees
Fractional coordinates of all 12 atoms:
1 Pm 0.0032 0.0032 0.2613
2 Pm 0.3293 0.3293 0.9057
3 Pm 0.3300 0.3300 0.4226
4 Pm 0.6700 0.6700 0.5774
5 Pm 0.6707 0.6707 0.0943
6 Pm 0.9968 0.9968 0.7387
7 As 0.1678 0.1678 0.3352
8 As 0.8322 0.8322 0.6648
9 Pb 0.5000 0.5000 0.0000
10 Se 0.1655 0.1655 0.8320
11 Se 0.5000 0.5000 0.5000
12 Se 0.8345 0.8345 0.1679

Values from the calculation:
- E_form (uncorrected): -1.540 eV per atom
- Space-group type: No. 12



Entry 17:
Below is a relaxed SrCd4Ni crystal, with properties calculated at the GGA-PBE level.

Cell lengths 5.8154, 5.8154, 5.8154 Å; angles 60.00, 60.00, 60.00 degrees
Fractional coordinates of all 6 atoms:
1 Sr 0.0000 0.0000 0.0000
2 Cd 0.1285 0.6238 0.6238
3 Cd 0.6238 0.1285 0.6238
4 Cd 0.6238 0.6238 0.1285
5 Cd 0.6238 0.6238 0.6238
6 Ni 0.2500 0.2500 0.2500

Values from the calculation:
- Energy of formation from the pure elements: 45.0 meV per atom
- Space-group type: No. 216
- Excess energy over the best structure of this formula in the dataset: 225.5 meV/atom



Entry 18:
Below is a relaxed LaPrMgCd crystal, with properties calculated at the GGA-PBE level.

Cell lengths 3.9316, 3.9316, 7.8106 Å; angles 90.00, 90.00, 90.00 degrees
Fractional coordinates of all 4 atoms:
1 La 0.0000 0.0000 0.0000
2 Pr 0.0000 0.0000 0.4996
3 Mg 0.5000 0.5000 0.2550
4 Cd 0.5000 0.5000 0.7443

Values from the calculation:
- Energy of formation from the pure elements: -217.1 meV per atom
- Space-group type: No. 99



Entry 19:
Below is a relaxed CaYO2 crystal, with properties calculated at the GGA-PBE level.

Cell lengths 3.3531, 3.3531, 17.6976 Å; angles 90.00, 90.00, 120.00 degrees
Fractional coordinates of all 12 atoms:
1 Ca 0.0000 0.0000 0.0000
2 Ca 0.3333 0.6667 0.6667
3 Ca 0.6667 0.3333 0.3333
4 Y 0.0000 0.0000 0.8255
5 Y 0.3333 0.6667 0.4922
6 Y 0.6667 0.3333 0.1588
7 O 0.0000 0.0000 0.2411
8 O 0.0000 0.0000 0.4141
9 O 0.3333 0.6667 0.0807
10 O 0.3333 0.6667 0.9077
11 O 0.6667 0.3333 0.5744
12 O 0.6667 0.3333 0.7474

Values from the calculation:
- E_form (uncorrected): -2.704 eV per atom
- Space-group type: No. 160
- Excess energy over the best structure of this formula in the dataset: 145.9 meV/atom



Entry 20:
Below is a relaxed AsAuSe2Cl crystal, with properties calculated at the GGA-PBE level.

Cell lengths 5.0395, 5.0395, 4.8897 Å; angles 90.00, 90.00, 90.00 degrees
Fractional coordinates of all 5 atoms:
1 As 0.0000 0.0000 0.0000
2 Au 0.5000 0.5000 0.0000
3 Se 0.0000 0.5000 0.5000
4 Se 0.5000 0.0000 0.5000
5 Cl 0.0000 0.0000 0.5000

Values from the calculation:
- E_form (uncorrected): 1.160 eV per atom
- Space-group type: No. 123
- Excess energy over the best structure of this formula in the dataset: 414.0 meV/atom



Result set for total magnetization: 0.414, 0.000, 1.812, 0.000, 0.580, 0.000, 0.000, 0.167, 0.017, 0.212, 0.000, 0.545, 0.000, 0.230, 0.000, 0.000, 0.000, 0.000, 0.000, 0.376 μB/atom, one per record in the order listed.
Result set for energy: -7.724, -6.078, -8.079, -4.894, -3.692, -6.461, -1.820, -3.976, -4.611, -3.582, -3.022, -7.170, -7.510, -5.885, -8.008, -5.870, -1.809, -3.271, -7.299, -2.189 eV/atom, one per record in the order listed.